Entry i
Here is a relaxed Pr8Sm2Sc crystal from the Alexandria database. Energies are from PBE-GGA.

The structure in POSCAR format:
```
Pr8Sm2Sc
1.0
8.373 -3.461 0.000
8.373 3.461 0.000
-1.521 0.000 6.640
Pr Sm Sc
8 2 1
Direct
0.098 0.098 0.925 Pr
0.162 0.680 0.612 Pr
0.255 0.255 0.667 Pr
0.320 0.838 0.388 Pr
0.680 0.162 0.612 Pr
0.745 0.745 0.333 Pr
0.838 0.320 0.388 Pr
0.902 0.902 0.075 Pr
0.317 0.317 0.187 Sm
0.683 0.683 0.813 Sm
0.500 0.500 0.000 Sc
```

Symmetry ... C2/m, No. 12
Spin magnetization ... 0.0 Bohr magnetons per cell
Mass density ... 6.355 g/cm³

=====

Entry ii
Here is a relaxed Pr8Sm2Sc crystal from the Alexandria database. Energies are from PBE-GGA.

The structure in POSCAR format:
```
Pr8Sm2Sc
1.0
-2.905 4.033 8.254
2.905 -4.033 8.254
2.905 4.033 -8.254
Pr Sm Sc
8 2 1
Direct
0.161 0.370 0.791 Pr
0.167 0.167 0.000 Pr
0.280 0.000 0.280 Pr
0.421 0.630 0.791 Pr
0.579 0.370 0.209 Pr
0.720 0.000 0.720 Pr
0.833 0.833 0.000 Pr
0.839 0.630 0.209 Pr
0.300 0.800 0.500 Sm
0.700 0.200 0.500 Sm
0.000 0.500 0.500 Sc
```

Symmetry ... Immm, No. 71
Spin magnetization ... 0.0 Bohr magnetons per cell
Mass density ... 6.324 g/cm³

=====

entry ii is favored, and the nearest alternative lies 49 meV per atom above it.

=====

Entry i
Here is a relaxed Pr2Sm7Sc2 crystal from the Alexandria database. Energies are from PBE-GGA.

The structure in POSCAR format:
```
Pr2Sm7Sc2
1.0
4.216 -5.391 0.000
4.216 5.391 0.000
-1.863 0.000 8.010
Pr Sm Sc
2 7 2
Direct
0.200 0.200 0.482 Pr
0.800 0.800 0.518 Pr
0.000 0.000 0.000 Sm
0.084 0.513 0.822 Sm
0.418 0.418 0.179 Sm
0.487 0.916 0.178 Sm
0.513 0.084 0.822 Sm
0.582 0.582 0.821 Sm
0.916 0.487 0.178 Sm
0.289 0.711 0.500 Sc
0.711 0.289 0.500 Sc
```

Symmetry ... C2/m, No. 12
Spin magnetization ... 0.0 Bohr magnetons per cell
Mass density ... 6.496 g/cm³

=====

Entry ii
Here is a relaxed Pr2Sm7Sc2 crystal from the Alexandria database. Energies are from PBE-GGA.

The structure in POSCAR format:
```
Pr2Sm7Sc2
1.0
4.733 -4.591 0.000
4.733 4.591 0.000
-2.013 0.000 8.441
Pr Sm Sc
2 7 2
Direct
0.103 0.103 0.359 Pr
0.897 0.897 0.641 Pr
0.011 0.407 0.700 Sm
0.194 0.194 0.025 Sm
0.407 0.011 0.700 Sm
0.500 0.500 0.500 Sm
0.593 0.989 0.300 Sm
0.806 0.806 0.975 Sm
0.989 0.593 0.300 Sm
0.317 0.683 0.000 Sc
0.683 0.317 0.000 Sc
```

Symmetry ... C2/m, No. 12
Spin magnetization ... 0.0 Bohr magnetons per cell
Mass density ... 6.447 g/cm³

=====

entry i is favored, and the nearest alternative lies 52 meV per atom above it.

=====

Entry i
Here is a relaxed Pr7Sm2Sc2 crystal from the Alexandria database. Energies are from PBE-GGA.

The structure in POSCAR format:
```
Pr7Sm2Sc2
1.0
6.575 0.000 0.000
-0.874 6.675 0.000
-0.633 -1.330 8.531
Pr Sm Sc
7 2 2
Direct
0.000 0.000 0.000 Pr
0.059 0.371 0.330 Pr
0.361 0.311 0.650 Pr
0.475 0.859 0.774 Pr
0.525 0.141 0.226 Pr
0.639 0.689 0.350 Pr
0.941 0.629 0.670 Pr
0.262 0.569 0.037 Sm
0.738 0.431 0.963 Sm
0.162 0.886 0.392 Sc
0.838 0.114 0.608 Sc
```

Symmetry ... P-1, No. 2
Spin magnetization ... 0.0 Bohr magnetons per cell
Mass density ... 6.107 g/cm³

=====

Entry ii
Here is a relaxed Pr7Sm2Sc2 crystal from the Alexandria database. Energies are from PBE-GGA.

The structure in POSCAR format:
```
Pr7Sm2Sc2
1.0
4.262 -5.460 0.000
4.262 5.460 0.000
-1.894 0.000 8.072
Pr Sm Sc
7 2 2
Direct
0.000 0.000 0.000 Pr
0.084 0.513 0.821 Pr
0.201 0.201 0.481 Pr
0.487 0.916 0.179 Pr
0.513 0.084 0.821 Pr
0.799 0.799 0.519 Pr
0.916 0.487 0.179 Pr
0.422 0.422 0.183 Sm
0.578 0.578 0.817 Sm
0.289 0.711 0.500 Sc
0.711 0.289 0.500 Sc
```

Symmetry ... C2/m, No. 12
Spin magnetization ... 0.0 Bohr magnetons per cell
Mass density ... 6.086 g/cm³

=====

entry i is favored, and the nearest alternative lies 23 meV per atom above it.

=====

Entry i
Here is a relaxed PrSm3Sc2 crystal from the Alexandria database. Energies are from PBE-GGA.

The structure in POSCAR format:
```
PrSm3Sc2
1.0
7.231 -4.933 0.000
7.231 4.933 0.000
0.000 0.000 5.509
Pr Sm Sc
2 6 4
Direct
0.234 0.766 0.750 Pr
0.766 0.234 0.250 Pr
0.132 0.392 0.250 Sm
0.392 0.132 0.750 Sm
0.403 0.597 0.250 Sm
0.597 0.403 0.750 Sm
0.608 0.868 0.250 Sm
0.868 0.608 0.750 Sm
0.016 0.195 0.750 Sc
0.195 0.016 0.250 Sc
0.805 0.984 0.750 Sc
0.984 0.805 0.250 Sc
```

Symmetry ... Cmcm, No. 63
Spin magnetization ... 0.0 Bohr magnetons per cell
Mass density ... 5.762 g/cm³

=====

Entry ii
Here is a relaxed PrSm3Sc2 crystal from the Alexandria database. Energies are from PBE-GGA.

The structure in POSCAR format:
```
PrSm3Sc2
1.0
4.557 -6.709 0.000
4.557 6.709 0.000
-1.467 0.000 6.207
Pr Sm Sc
2 6 4
Direct
0.082 0.918 0.750 Pr
0.918 0.082 0.250 Pr
0.197 0.803 0.250 Sm
0.264 0.405 0.064 Sm
0.405 0.264 0.564 Sm
0.595 0.736 0.436 Sm
0.736 0.595 0.936 Sm
0.803 0.197 0.750 Sm
0.177 0.518 0.600 Sc
0.482 0.823 0.900 Sc
0.518 0.177 0.100 Sc
0.823 0.482 0.400 Sc
```

Symmetry ... C2/c, No. 15
Spin magnetization ... 0.0 Bohr magnetons per cell
Mass density ... 5.966 g/cm³

=====

entry ii is favored, and the nearest alternative lies 100 meV per atom above it.